VASP calculation (SCAN) on a crystal of P2PbSe relaxed with PBEsol.

Total energy   -115.29 eV per cell
ΔE_f (raw)   0.34 eV/atom
SG   P4mm

Cell: 3.2197 3.2197 8.0555 Å, 90.00 90.00 90.00°
Closest atoms and distances in Å follow each position.
Element x y z (fractional)
P: 0.0000 0.0000 0.0842  4 P 2.40
P: 0.5000 0.5000 0.1800  4 P 2.40
Pb: 0.0000 0.0000 0.4948  4 Se 3.02, 4 Pb 3.22, 1 P 3.31
Se: 0.5000 0.5000 0.7410  4 Pb 3.02, 4 Se 3.22